Record 1
BaAg2Br: single point on PBEsol structure, meta-GGA SCAN.

Lattice parameters (Å, degrees): 6.6351 6.6351 6.6351 141.70 141.70 55.28
Fractional positions:
Ba 0.0000 0.0000 0.0000
Ag 0.2500 0.7500 0.5000
Ag 0.7500 0.2500 0.5000
Br 0.5000 0.5000 0.0000

Calculated values
formation energy from raw total energies = -0.58 eV/atom

Record 2
Ba2AgBr: single point on PBEsol structure, meta-GGA SCAN.

Lattice parameters (Å, degrees): 8.8060 8.8060 8.8060 30.25 30.25 30.25
Fractional positions:
Ba 0.2430 0.2430 0.2430
Ba 0.7570 0.7570 0.7570
Ag 0.5000 0.5000 0.5000
Br 0.0000 0.0000 0.0000

Calculated values
formation energy from raw total energies = -1.03 eV/atom
offset from the most stable computed form = 0.0 kJ/mol of formula units

Record 3
BaMg2AgBr: single point on PBEsol structure, meta-GGA SCAN.

Lattice parameters (Å, degrees): 5.2855 5.2855 6.0874 90.00 90.00 90.00
Fractional positions:
Ba 0.0000 0.0000 0.0000
Mg 0.0000 0.5000 0.5000
Mg 0.5000 0.0000 0.5000
Ag 0.5000 0.5000 0.0000
Br 0.0000 0.0000 0.5000

Calculated values
formation energy from raw total energies = 0.08 eV/atom

Record 4
Ba2Ag2C: single point on PBEsol structure, meta-GGA SCAN.

Lattice parameters (Å, degrees): 9.5520 9.5520 9.5520 157.61 157.61 31.87
Fractional positions:
Ba 0.0869 0.0869 0.0000
Ba 0.9131 0.9131 0.0000
Ag 0.2500 0.7500 0.5000
Ag 0.7500 0.2500 0.5000
C 0.5000 0.5000 0.0000

Calculated values
energy relative to the elements = 0.42 eV/atom

Record 5
BaMn2AgC: single point on PBEsol structure, meta-GGA SCAN.

Lattice parameters (Å, degrees): 6.4813 6.4813 6.0133 90.00 90.00 90.00
Fractional positions:
Ba 0.0000 0.0000 0.0000
Mn 0.0000 0.5000 0.0000
Mn 0.5000 0.0000 0.0000
Ag 0.0000 0.0000 0.5000
C 0.5000 0.5000 0.5000

Calculated values
energy relative to the elements = 2.69 eV/atom

Record 6
BaAgRuC2: single point on PBEsol structure, meta-GGA SCAN.

Lattice parameters (Å, degrees): 4.0591 4.0591 6.0060 90.00 90.00 90.00
Fractional positions:
Ba 0.0000 0.0000 0.0000
Ag 0.5000 0.5000 0.0000
Ru 0.0000 0.0000 0.5000
C 0.0000 0.5000 0.5000
C 0.5000 0.0000 0.5000

Calculated values
energy relative to the elements = 1.41 eV/atom

Record 7
BaCa2Ag: single point on PBEsol structure, meta-GGA SCAN.

Lattice parameters (Å, degrees): 3.7802 3.7802 9.8695 90.00 90.00 90.00
Fractional positions:
Ba 0.0000 0.0000 0.0000
Ca 0.5000 0.5000 0.3256
Ca 0.5000 0.5000 0.6744
Ag 0.0000 0.0000 0.5000

Calculated values
energy relative to the elements = -0.13 eV/atom
offset from the most stable computed form = 0.0 kJ/mol of formula units

Record 8
BaCa2Ag: single point on PBEsol structure, meta-GGA SCAN.

Lattice parameters (Å, degrees): 3.9007 3.9007 9.4316 90.00 90.00 90.00
Fractional positions:
Ba 0.0000 0.0000 0.0000
Ca 0.0000 0.0000 0.6171
Ca 0.5000 0.5000 0.3345
Ag 0.5000 0.5000 0.7746

Calculated values
energy relative to the elements = -0.13 eV/atom
offset from the most stable computed form = 1.2 kJ/mol of formula units

Record 9
BaCa2Ag: single point on PBEsol structure, meta-GGA SCAN.

Lattice parameters (Å, degrees): 7.1831 7.1831 7.1831 148.94 130.37 59.71
Fractional positions:
Ba 0.0000 0.0000 0.0000
Ca 0.3061 0.8061 0.5000
Ca 0.6939 0.1939 0.5000
Ag 0.5000 0.5000 0.0000

Calculated values
energy relative to the elements = -0.13 eV/atom
offset from the most stable computed form = 1.4 kJ/mol of formula units

Record 10
BaCa2Ag: single point on PBEsol structure, meta-GGA SCAN.

Lattice parameters (Å, degrees): 7.0154 7.0154 3.7447 103.45 103.45 119.94
Fractional positions:
Ba 0.0000 0.0000 0.0000
Ca 0.0000 0.5000 0.5000
Ca 0.5000 0.0000 0.5000
Ag 0.5000 0.5000 0.0000

Calculated values
energy relative to the elements = 0.14 eV/atom
offset from the most stable computed form = 105.0 kJ/mol of formula units

Record 11
BaCaAgF7: single point on PBEsol structure, meta-GGA SCAN.

Lattice parameters (Å, degrees): 5.6914 10.9036 9.5600 90.00 91.33 90.00
Fractional positions:
Ba 0.2261 0.1526 0.4767
Ba 0.2261 0.3474 0.9767
Ba 0.7739 0.6526 0.0233
Ba 0.7739 0.8474 0.5233
Ca 0.2068 0.5714 0.3585
Ca 0.2068 0.9286 0.8585
Ca 0.7932 0.0714 0.1415
Ca 0.7932 0.4286 0.6415
Ag 0.3046 0.6557 0.7038
Ag 0.3046 0.8443 0.2038
Ag 0.6954 0.1557 0.7962
Ag 0.6954 0.3443 0.2962
F 0.0030 0.7455 0.7756
F 0.0030 0.7545 0.2756
F 0.0868 0.5166 0.1481
F 0.0868 0.9834 0.6481
F 0.1556 0.5062 0.6002
F 0.1556 0.9938 0.1002
F 0.2100 0.7381 0.5159
F 0.2100 0.7619 0.0159
F 0.3899 0.1095 0.9001
F 0.3899 0.3905 0.4001
F 0.4191 0.5533 0.8731
F 0.4191 0.9467 0.3731
F 0.4985 0.6936 0.2754
F 0.4985 0.8064 0.7754
F 0.5015 0.1936 0.2246
F 0.5015 0.3064 0.7246
F 0.5809 0.0533 0.6269
F 0.5809 0.4467 0.1269
F 0.6101 0.6095 0.5999
F 0.6101 0.8905 0.0999
F 0.7900 0.2381 0.9841
F 0.7900 0.2619 0.4841
F 0.8444 0.0062 0.8998
F 0.8444 0.4938 0.3998
F 0.9132 0.0166 0.3519
F 0.9132 0.4834 0.8519
F 0.9970 0.2455 0.7244
F 0.9970 0.2545 0.2244

Calculated values
formation energy from raw total energies = -2.94 eV/atom

Record 12
BaCd2Ag: single point on PBEsol structure, meta-GGA SCAN.

Lattice parameters (Å, degrees): 4.6187 4.6187 5.2144 90.00 90.00 90.00
Fractional positions:
Ba 0.0000 0.0000 0.0000
Cd 0.0000 0.5000 0.5000
Cd 0.5000 0.0000 0.5000
Ag 0.5000 0.5000 0.0000

Calculated values
energy relative to the elements = -0.05 eV/atom

These records have final energy values of -124.05 -134.04 -99.93 -149.83 -104.06 -118.91 -90.76 -90.75 -90.75 -89.67 -539.03 -131.96 eV per cell, in the order they appear.